The following is a DFT calculation (PBE) of an optimized crystal structure of CuHg.

Cell lengths 3.314, 4.689, 4.553 Å; angles 90.00, 90.00, 90.00 degrees
Element x y z (fractional)
Hg: 0.500 0.000 0.525
Hg: 0.000 0.500 0.308
Cu: 0.000 0.000 0.995
Cu: 0.500 0.500 0.839

## Properties
N(E_F) ... 0.9 states/eV/cell
Magnetization ... 0.00 μB/f.u.
DFT total energy ... -1.945 eV per atom
ΔE_f ... 0.254 eV per atom